# 1
VASP calculation (GGA-PBE) on crystalline UTl2I4Br2 at its relaxed geometry.

Cell: 8.323 8.415 8.415 Å, 60.26 57.49 57.49°
Site moments in Bohr magnetons follow the coordinates.
Fractional positions:
U  0.500  0.000  0.000  2.13
Tl  0.271  0.766  0.766  0.00
Tl  0.729  0.234  0.234  0.00
I  0.309  0.694  0.195  -0.02
I  0.691  0.805  0.306  -0.02
I  0.691  0.306  0.805  -0.02
I  0.309  0.195  0.694  -0.02
Br  0.155  0.230  0.230  -0.04
Br  0.845  0.770  0.770  -0.04

Results
Its symmetry is C2/m, No. 12. The crystal system is monoclinic. As for the raw total energy: -33.52 eV/cell. For the total magnetization, the calculation gives 2.0 Bohr magnetons per cell.

# 2
VASP calculation (GGA-PBE) on crystalline UTl3I2Br6 at its relaxed geometry.

Cell: 6.531 9.428 9.734 Å, 118.96 89.94 90.00°
Site moments in Bohr magnetons follow the coordinates.
Fractional positions:
U  0.500  0.000  0.000  1.27
Tl  0.000  0.500  0.000  -0.01
Tl  0.500  0.500  0.500  -0.01
Tl  0.500  0.000  0.500  -0.01
I  0.164  0.686  0.372  -0.02
I  0.836  0.314  0.628  -0.02
Br  0.732  0.272  0.136  -0.04
Br  0.268  0.728  0.864  -0.04
Br  0.740  0.870  0.741  -0.04
Br  0.260  0.130  0.259  -0.04
Br  0.268  0.136  0.864  -0.04
Br  0.732  0.864  0.136  -0.04

Results
Its symmetry is C2/m, No. 12. The crystal system is monoclinic. As for the raw total energy: -43.00 eV/cell. For the total magnetization, the calculation gives 1.0 Bohr magnetons per cell.

raw total energy of number 2 (UTl3I2Br6)?
-43.00 eV/cell

raw total energy of number 1 (UTl2I4Br2)?
-33.52 eV/cell